This record from the Alexandria database describes Sb2TeOs after structural relaxation. The functional is PBE.

The space group is Immm (No. 71) and the conventional cell measures 3.231, 4.922 and 12.104 Å, with angles of 90.00, 90.00 and 90.00 degrees. The distinct sites, in fractional coordinates, are Sb at (0.000, 0.000, 0.183), Te at (0.000, 0.500, 0.000) and Os at (0.000, 0.500, 0.500).

The raw formation energy is 0.389 eV per atom.



This record from the Alexandria database describes Zn2HRh2 after structural relaxation. The functional is PBE.

The space group is C2/c (No. 15) and the conventional cell measures 9.725, 5.351 and 4.835 Å, with angles of 90.00, 108.60 and 90.00 degrees. The distinct sites, in fractional coordinates, are Zn at (0.134, 0.128, 0.033), H at (0.000, 0.436, 0.750) and Rh at (0.125, 0.358, 0.522).

As for the energy above the most stable polymorph in this dataset: 0.0 meV per atom.